Record 1
Entry from Alexandria: BaSi2Te after structural relaxation (PBE).

Cell lengths 3.9836, 3.9836, 25.4715 Å; angles 90.00, 90.00, 120.00 degrees
Space group R-3m (No. 166, hexagonal axes)
Symmetry-distinct sites (fractional):
Ba1 0.0000 0.0000 0.0000 (multiplicity 3)
Si1 0.0000 0.0000 0.2338 (multiplicity 6)
Te1 0.0000 0.0000 0.5000 (multiplicity 3)

- Formation energy from raw total energies: 0.295 eV/atom
- DOS(E_F): 8.134 states/eV per cell
- Total magnetic moment: 0.0 μB/f.u.

=====

Record 2
Entry from Alexandria: Ho2CdIr after structural relaxation (PBE).

Cell lengths 4.0014, 4.0014, 28.6351 Å; angles 90.00, 90.00, 120.00 degrees
Space group R-3m (No. 166, hexagonal axes)
Symmetry-distinct sites (fractional):
Ho1 0.0000 0.0000 0.1162 (multiplicity 6)
Cd1 0.0000 0.0000 0.0000 (multiplicity 3)
Ir1 0.0000 0.0000 0.5000 (multiplicity 3)

- Formation energy: -29.6 kJ per mole of atoms
- DOS(E_F): 8.481 states/eV per cell
- Total magnetic moment: 0.0 μB/f.u.

=====

Record 3
Entry from Alexandria: CdFeIrCl2 after structural relaxation (PBE).

Cell lengths 4.728, 4.728, 5.439 Å; angles 90.00, 90.00, 90.00 degrees
Space group P4/mmm (No. 123)
Symmetry-distinct sites (fractional):
Cd1 0.000 0.000 0.000 (multiplicity 1)
Fe1 0.500 0.500 0.000 (multiplicity 1)
Ir1 0.000 0.000 0.500 (multiplicity 1)
Cl1 0.000 0.500 0.500 (multiplicity 2)

- Formation energy from raw total energies: 0.762 eV/atom
- DOS(E_F): 3.417 states/eV per cell
- Total magnetic moment: 4.1 μB/f.u.

=====

Record 4
Entry from Alexandria: AlZn2Au2 after structural relaxation (PBE).

Cell lengths 4.392, 13.895, 5.518 Å; angles 90.00, 90.00, 90.00 degrees
Space group Cmc2_1 (No. 36)
Symmetry-distinct sites (fractional):
Al1 0.000 0.139 0.000 (multiplicity 4)
Zn1 0.000 0.338 0.134 (multiplicity 4)
Zn2 0.000 0.457 0.747 (multiplicity 4)
Au1 0.000 0.049 0.574 (multiplicity 4)
Au2 0.000 0.272 0.615 (multiplicity 4)

- Formation energy: -23.9 kJ per mole of atoms
- DOS(E_F): 4.844 states/eV per cell
- Total magnetic moment: 0.0 μB/f.u.

=====

Record 5
Entry from Alexandria: La5Tb2Sm4 after structural relaxation (PBE).

Cell lengths 18.081, 3.599, 11.846 Å; angles 90.00, 93.95, 90.00 degrees
Space group C2/m (No. 12)
Symmetry-distinct sites (fractional):
La1 0.000 0.000 0.000 (multiplicity 2)
La2 0.095 0.500 0.537 (multiplicity 4)
La3 0.178 0.500 0.075 (multiplicity 4)
Tb1 0.216 0.000 0.357 (multiplicity 4)
Sm1 0.037 0.500 0.263 (multiplicity 4)
Sm2 0.141 0.000 0.798 (multiplicity 4)

- Formation energy: 7.1 kJ per mole of atoms
- DOS(E_F): 33.638 states/eV per cell
- Total magnetic moment: 0.0 μB/f.u.

=====

Record 6
Entry from Alexandria: TaAlZn2 after structural relaxation (PBE).

Cell lengths 4.891, 2.830, 4.989 Å; angles 90.00, 111.37, 90.00 degrees
Space group P2/m (No. 10)
Symmetry-distinct sites (fractional):
Ta1 0.000 0.000 0.000 (multiplicity 1)
Al1 0.500 0.500 0.000 (multiplicity 1)
Zn1 0.000 0.500 0.500 (multiplicity 1)
Zn2 0.500 0.000 0.500 (multiplicity 1)

- Formation energy: -6.8 kJ per mole of atoms
- DOS(E_F): 1.362 states/eV per cell
- Total magnetic moment: 0.0 μB/f.u.

=====

Record 7
Entry from Alexandria: MgIn2F8 after structural relaxation (PBE).

Cell lengths 8.865, 6.758, 4.983 Å; angles 90.00, 105.63, 90.00 degrees
Space group C2/m (No. 12)
Symmetry-distinct sites (fractional):
Mg1 0.000 0.000 0.000 (multiplicity 2)
In1 0.180 0.500 0.425 (multiplicity 4)
F1 0.069 0.500 0.759 (multiplicity 4)
F2 0.143 0.193 0.279 (multiplicity 8)
F3 0.152 0.000 0.786 (multiplicity 4)

- Formation energy from raw total energies: -2.759 eV/atom
- DOS(E_F): 0.000 states/eV per cell
- Total magnetic moment: 0.0 μB/f.u.

=====

Record 8
Entry from Alexandria: Ho3Er3Cd after structural relaxation (PBE).

Cell lengths 8.440, 5.375, 9.831 Å; angles 90.00, 112.33, 90.00 degrees
Space group P2_1/m (No. 11)
Symmetry-distinct sites (fractional):
Ho1 0.023 0.250 0.216 (multiplicity 2)
Ho2 0.167 0.250 0.934 (multiplicity 2)
Ho3 0.292 0.750 0.175 (multiplicity 2)
Er1 0.135 0.750 0.463 (multiplicity 2)
Er2 0.410 0.750 0.860 (multiplicity 2)
Er3 0.420 0.250 0.415 (multiplicity 2)
Cd1 0.278 0.250 0.661 (multiplicity 2)

- Formation energy: -2.8 kJ per mole of atoms
- DOS(E_F): 20.338 states/eV per cell
- Total magnetic moment: 0.0 μB/f.u.

=====

Question: What is the total magnetic moment in the third record?
Answer: 4.1 μB/f.u.

=====

Question: Which value of DOS(E_F) does entry 2 give?
Answer: 8.481 states/eV per cell

=====

Question: Among the records above, which one has the lowest DOS(E_F)?
Answer: MgIn2F8